Record 1
{
  "formula": "GaBr2F",
  "functional": "PBE",
  "state": "optimized geometry",
  "mass_density_g_cm3": 4.62,
  "sg": "I-42d (122)",
  "de_polymorph_kj_per_mol_atoms": 72.9,
  "n_ef_per_ev_atom": 0.000,
  "final_energy_ev_per_fu": -10.80,
  "cell": [[-3.472, 3.472, 3.708], [3.472, -3.472, 3.708], [3.472, 3.472, -3.708]],
  "species": ["Ga", "Ga", "Br", "Br", "Br", "Br", "F", "F"],
  "frac_coords": [[0.000, 0.000, 0.000], [0.750, 0.250, 0.500], [0.085, 0.625, 0.960], [0.375, 0.335, 0.460], [0.665, 0.125, 0.040], [0.875, 0.915, 0.540], [0.250, 0.750, 0.500], [0.500, 0.500, 0.000]]
}

---

Record 2
{
  "formula": "Sr2YAg",
  "functional": "PBE",
  "state": "optimized geometry",
  "mass_density_g_cm3": 4.35,
  "sg": "P4/mmm (123)",
  "e_form_kcal_per_mol_atoms": 3.02,
  "de_polymorph_kj_per_mol_atoms": 20.1,
  "n_ef_per_ev_atom": 0.681,
  "final_energy_ev_per_fu": -12.16,
  "cell": [[5.798, 0.000, 0.000], [0.000, 5.798, 0.000], [0.000, 0.000, 4.224]],
  "species": ["Sr", "Sr", "Y", "Ag"],
  "frac_coords": [[0.000, 0.500, 0.000], [0.500, 0.000, 0.000], [0.000, 0.000, 0.500], [0.500, 0.500, 0.500]]
}

---

Record 3
{
  "formula": "Cs2BeTl",
  "functional": "PBE",
  "state": "optimized geometry",
  "mass_density_g_cm3": 4.28,
  "sg": "Fm-3m (225)",
  "e_form_kcal_per_mol_atoms": 16.15,
  "de_polymorph_kj_per_mol_atoms": 36.4,
  "n_ef_per_ev_atom": 1.883,
  "final_energy_ev_per_fu": -5.00,
  "cell": [[0.000, 4.532, 4.532], [4.532, 0.000, 4.532], [4.532, 4.532, 0.000]],
  "species": ["Cs", "Cs", "Be", "Tl"],
  "frac_coords": [[0.250, 0.250, 0.250], [0.750, 0.750, 0.750], [0.000, 0.000, 0.000], [0.500, 0.500, 0.500]]
}